Tb5Pm4Cd2 | PBE | relaxed

Output
The energy relative to the elements comes out at 0.0060 eV per atom.

POSCAR file:
```
Tb5Pm4Cd2
1.0
3.5067 0.0000 0.0000
0.0000 8.6581 0.0272
0.0000 -0.8005 11.3174
Pm Tb Cd
4 5 2
direct
0.5000 0.1450 0.8816
0.5000 0.7229 0.5474
0.5000 0.2771 0.4526
0.5000 0.8550 0.1184
0.0000 0.5000 0.0000
0.0000 0.5697 0.2938
0.0000 0.2049 0.1680
0.0000 0.7951 0.8320
0.0000 0.4303 0.7062
0.0000 0.9463 0.3682
0.0000 0.0537 0.6318
```


Tb5Pm2Cd | PBE | relaxed

Output
The energy relative to the elements comes out at -0.0420 eV per atom.

POSCAR file:
```
Tb5Pm2Cd
1.0
7.0930 0.0055 0.0050
-0.0037 8.4001 0.4053
-3.5438 -4.0212 3.9772
Pm Tb Cd
2 5 1
direct
0.6711 0.1218 0.3432
0.2522 0.8113 0.5047
0.2638 0.3055 0.0268
0.6676 0.6362 0.8603
0.1928 0.6362 0.8603
0.7639 0.3054 0.0279
0.7812 0.8110 0.5625
0.1844 0.1496 0.3682
```


Tb5Pm4Cd | PBE | relaxed

Output
The energy relative to the elements comes out at 0.1124 eV per atom. For the offset from the most stable computed form, the calculation gives 0.1315 eV/atom.

POSCAR file:
```
Tb5Pm4Cd
1.0
-4.9949 2.8993 -0.5656
-5.3695 -4.2855 -4.3176
-5.0723 -1.7434 6.0886
Tb Pm Cd
5 4 1
direct
0.1378 0.0001 0.6318
0.1378 0.6318 0.9999
0.7696 0.9999 0.3682
0.7696 0.3682 0.0001
0.6565 0.0000 0.0000
0.4656 0.3171 0.6829
0.1485 0.3171 0.3171
0.4656 0.6829 0.3171
0.7827 0.6829 0.6829
0.1765 0.0000 0.0000
```


Tb2PmCd | PBE | relaxed

Output
The energy relative to the elements comes out at -0.0590 eV per atom. For the offset from the most stable computed form, the calculation gives 0.0922 eV/atom.

POSCAR file:
```
Tb2PmCd
1.0
-0.6047 3.3967 1.1196
-3.1799 1.6001 -0.6963
-5.2152 -2.1213 9.4946
Cd Tb Pm
1 2 1
direct
0.6666 0.6666 0.0003
0.0765 0.0765 0.7706
0.2570 0.2570 0.2290
0.5000 0.5000 0.5001
```


TbPmCd6 | PBE | relaxed

Output
The energy relative to the elements comes out at -0.2958 eV per atom.

POSCAR file:
```
TbPmCd6
1.0
4.9249 0.0000 0.0000
0.0000 6.6000 0.1023
0.0000 -2.8303 5.9632
Tb Cd Pm
1 6 1
direct
0.0000 0.1099 0.8901
0.5000 0.8751 0.5616
0.5000 0.4384 0.1249
0.5000 0.9234 0.0766
0.0000 0.5793 0.4207
0.0000 0.0577 0.3737
0.0000 0.6263 0.9423
0.5000 0.3894 0.6106
```


Tb2Pm6Cd | PBE | relaxed

Output
The energy relative to the elements comes out at -0.0335 eV per atom. For the offset from the most stable computed form, the calculation gives 0.0000 eV/atom.

POSCAR file:
```
Tb2Pm6Cd
1.0
-5.7739 -3.2287 1.8283
2.2917 -6.8223 -9.5196
4.6665 -8.8413 -1.2973
Cd Pm Tb
2 12 4
direct
0.6831 0.6461 0.3224
0.3169 0.3539 0.6776
0.1850 0.6679 0.2813
0.1180 0.0270 0.8007
0.4924 0.6689 0.5925
0.5076 0.3311 0.4075
0.8371 0.6633 0.0046
0.0079 0.3285 0.3487
0.6030 0.9538 0.8979
0.8820 0.9730 0.1993
0.3970 0.0462 0.1021
0.1629 0.3367 0.9954
0.9921 0.6715 0.6513
0.8150 0.3321 0.7187
0.2569 0.0267 0.4512
0.6643 0.3351 0.0700
0.7431 0.9733 0.5488
0.3357 0.6649 0.9300
```


TbPm6Cd | PBE | relaxed

Output
The energy relative to the elements comes out at 0.0362 eV per atom. For the offset from the most stable computed form, the calculation gives 0.0687 eV/atom.

POSCAR file:
```
TbPm6Cd
1.0
6.4940 -0.7484 -1.4707
-3.1107 5.7494 -1.4707
-1.7510 -2.5882 8.9112
Pm Tb Cd
6 1 1
direct
0.7431 0.3197 0.7453
0.2569 0.6803 0.2547
0.6803 0.2569 0.2547
0.3197 0.7431 0.7453
0.1682 0.1682 0.7455
0.8318 0.8318 0.2545
0.0000 0.0000 0.0000
0.5000 0.5000 0.5000
```


Tb3PmCd2 | PBE | relaxed

Output
The energy relative to the elements comes out at -0.2032 eV per atom.

POSCAR file:
```
Tb3PmCd2
1.0
3.6806 0.0000 0.0000
0.0000 3.6806 0.0000
0.0000 0.0000 12.7706
Tb Pm Cd
3 1 2
direct
0.0000 0.0000 0.6963
0.0000 0.0000 0.0000
0.0000 0.0000 0.3037
0.5000 0.5000 0.5000
0.5000 0.5000 0.1514
0.5000 0.5000 0.8486
```


TbPm2Tl2Cd2 | PBE | relaxed

Output
The energy relative to the elements comes out at -0.1665 eV per atom.

POSCAR file:
```
TbPm2Tl2Cd2
1.0
5.0041 0.0000 0.0000
2.5021 4.3337 0.0000
2.5021 1.4446 9.2333
Tl Tb Pm Cd
2 1 2 2
direct
0.7409 0.7409 0.7772
0.2591 0.2591 0.2228
0.0000 0.0000 0.0000
0.8736 0.8736 0.3793
0.1264 0.1264 0.6207
0.3894 0.3894 0.8318
0.6106 0.6106 0.1682
```


Pm6CdTc2 | PBE | relaxed

Output
The energy relative to the elements comes out at -0.0607 eV per atom.

POSCAR file:
```
Pm6CdTc2
1.0
-7.5563 1.0656 -4.2765
-0.3698 -6.7496 5.5523
1.8242 7.0543 4.8406
Cd Tc Pm
2 4 12
direct
0.0000 0.0000 0.0000
0.0000 0.5000 0.5000
0.6209 0.0000 0.6209
0.3791 0.0000 0.3791
0.5000 0.6132 0.1132
0.5000 0.3868 0.8868
0.2905 0.6041 0.3136
0.2144 0.7725 0.9869
0.7095 0.0231 0.3136
0.9042 0.7139 0.1903
0.2905 0.9769 0.6864
0.0958 0.2861 0.8097
0.5237 0.7139 0.8097
0.7095 0.3959 0.6864
0.2144 0.2275 0.4419
0.7856 0.2275 0.0131
0.7856 0.7725 0.5581
0.4763 0.2861 0.1903
```


PmCdTc | PBE | relaxed

Output
The energy relative to the elements comes out at 0.0657 eV per atom.

POSCAR file:
```
PmCdTc
1.0
2.5628 0.7244 -1.8369
0.1393 5.5898 -0.4830
-6.7034 -5.6934 14.5428
Pm Tc Cd
2 2 2
direct
0.8017 0.6799 0.2088
0.1983 0.3201 0.7912
0.8849 0.8482 0.9018
0.1151 0.1518 0.0982
0.0013 0.7637 0.5854
0.9987 0.2363 0.4146
```


Pm2CdTc | PBE | relaxed

Output
The energy relative to the elements comes out at 0.5918 eV per atom. For the offset from the most stable computed form, the calculation gives 0.6757 eV/atom.

POSCAR file:
```
Pm2CdTc
1.0
3.2521 0.0000 0.0000
1.6260 2.8164 0.0000
1.6260 0.9388 11.0525
Tc Pm Cd
1 2 1
direct
0.0000 0.0000 0.0000
0.9199 0.9199 0.2404
0.0801 0.0801 0.7596
0.5000 0.5000 0.5000
```


Pm2CdTc | PBE | relaxed

Output
The energy relative to the elements comes out at -0.0838 eV per atom. For the offset from the most stable computed form, the calculation gives 0.0000 eV/atom.

POSCAR file:
```
Pm2CdTc
1.0
3.5759 0.0000 0.0000
0.0000 3.5759 0.0000
0.0000 0.0000 7.8248
Cd Pm Tc
1 2 1
direct
0.5000 0.5000 0.5000
0.0000 0.0000 0.7855
0.0000 0.0000 0.2145
0.5000 0.5000 0.0000
```


Pm2CdTc | PBE | relaxed

Output
The energy relative to the elements comes out at -0.0055 eV per atom. For the offset from the most stable computed form, the calculation gives 0.0783 eV/atom.

POSCAR file:
```
Pm2CdTc
1.0
5.1650 0.0000 0.0000
2.5825 4.4730 0.0000
2.5825 1.4910 4.2172
Cd Tc Pm
1 1 2
direct
0.5000 0.5000 0.5000
0.0000 0.0000 0.0000
0.7500 0.7500 0.7500
0.2500 0.2500 0.2500
```


PmThCdTc | PBE | relaxed

Output
The energy relative to the elements comes out at 0.0083 eV per atom.

POSCAR file:
```
PmThCdTc
1.0
-4.8758 1.8161 -0.1876
-4.0026 -3.3151 -0.3100
-3.1741 -0.6374 4.0775
Th Cd Tc Pm
1 1 1 1
direct
0.7500 0.7500 0.7500
0.0000 0.0000 0.0000
0.5000 0.5000 0.5000
0.2500 0.2500 0.2500
```


PmTmCdTc | PBE | relaxed

Output
The energy relative to the elements comes out at -0.0572 eV per atom.

POSCAR file:
```
PmTmCdTc
1.0
5.0715 0.0000 0.0000
2.5357 4.3920 0.0000
2.5357 1.4640 4.1408
Pm Tm Tc Cd
1 1 1 1
direct
0.5000 0.5000 0.5000
0.0000 0.0000 0.0000
0.7500 0.7500 0.7500
0.2500 0.2500 0.2500
```


PmYCdTc | PBE | relaxed

Output
The energy relative to the elements comes out at -0.0449 eV per atom.

POSCAR file:
```
PmYCdTc
1.0
-1.2179 0.8956 -4.8812
0.1280 -3.8078 -3.4053
-4.3553 -1.8512 -1.9277
Cd Y Tc Pm
1 1 1 1
direct
0.7500 0.7500 0.7500
0.0000 0.0000 0.0000
0.2500 0.2500 0.2500
0.5000 0.5000 0.5000
```


Pm2CdTe | PBE | relaxed

Output
Its formation energy from raw total energies is -795 meV/atom. For the offset from the most stable computed form, the calculation gives 0.0000 eV/atom.

POSCAR file:
```
Pm2CdTe
1.0
4.2938 0.0000 0.0000
2.1469 3.7185 0.0000
2.1469 1.2395 7.8805
Te Pm Cd
1 2 1
direct
0.5000 0.5000 0.5000
0.2470 0.2470 0.2589
0.7530 0.7530 0.7411
0.0000 0.0000 0.0000
```


Pm6CdTe5 | PBE | relaxed

Output
Its formation energy from raw total energies is -1230 meV/atom.

POSCAR file:
```
Pm6CdTe5
1.0
7.6204 0.1925 1.1613
1.8739 6.5071 3.7919
0.1271 0.0839 7.7355
Pm Te Cd
6 5 1
direct
0.7523 0.7547 0.0000
0.2459 0.9189 0.6701
0.7541 0.4110 0.6701
0.2459 0.5890 0.3299
0.2477 0.2453 0.0000
0.7541 0.0811 0.3299
0.5000 0.8305 0.3389
0.5000 0.1695 0.6611
0.5000 0.5000 0.0000
0.0000 0.6654 0.6692
0.0000 0.3346 0.3308
0.0000 0.0000 0.0000
```


Pm3Cd5Te12 | PBE | relaxed

Output
Its formation energy from raw total energies is -565 meV/atom.

POSCAR file:
```
Pm3Cd5Te12
1.0
-7.0774 2.5534 13.4354
-8.9537 -8.7872 -8.9294
13.3729 -7.2028 2.5305
Te Pm Cd
48 12 20
direct
0.0899 0.1743 0.2254
0.5510 0.2254 0.1354
0.4156 0.0510 0.3257
0.1354 0.7254 0.5510
0.4490 0.6743 0.0844
0.1743 0.0899 0.7254
0.9156 0.8257 0.5510
0.6354 0.5844 0.9101
0.6354 0.0510 0.2254
0.1743 0.0844 0.9490
0.9101 0.8257 0.7746
0.9490 0.3646 0.2746
0.7254 0.1354 0.0510
0.4101 0.2746 0.3257
0.5844 0.6354 0.4101
0.8257 0.9101 0.2746
0.3257 0.5510 0.4156
0.6743 0.2254 0.5899
0.0510 0.6354 0.7254
0.5510 0.3257 0.9156
0.9156 0.0899 0.8646
0.5844 0.9490 0.6743
0.7746 0.4490 0.3646
0.3646 0.4156 0.0899
0.5899 0.8646 0.4156
0.0844 0.1743 0.4490
0.8646 0.5899 0.9156
0.2746 0.8646 0.9490
0.4490 0.7746 0.8646
0.8646 0.2746 0.4490
0.0899 0.9156 0.3646
0.8257 0.9156 0.0510
0.4101 0.1354 0.5844
0.0510 0.4156 0.8257
0.2746 0.4101 0.8257
0.0844 0.9101 0.1354
0.3646 0.9490 0.7746
0.1354 0.4101 0.0844
0.6743 0.4490 0.5844
0.5899 0.7254 0.6743
0.4156 0.3646 0.5899
0.3257 0.7746 0.4101
0.9101 0.0844 0.6354
0.2254 0.5510 0.6354
0.7746 0.3257 0.9101
0.2254 0.6743 0.0899
0.9490 0.5844 0.1743
0.7254 0.5899 0.1743
0.2500 0.6250 0.8750
0.6250 0.2500 0.3750
0.3750 0.6250 0.2500
0.1250 0.2500 0.8750
0.8750 0.7500 0.1250
0.7500 0.3750 0.1250
0.3750 0.7500 0.6250
0.1250 0.8750 0.7500
0.6250 0.3750 0.7500
0.8750 0.1250 0.2500
0.7500 0.8750 0.6250
0.2500 0.1250 0.3750
0.0000 0.5000 0.0000
0.7500 0.1250 0.8750
0.2500 0.8750 0.1250
0.5000 0.0000 0.0000
0.1250 0.7500 0.3750
0.2500 0.3750 0.6250
0.3750 0.2500 0.1250
0.6250 0.7500 0.8750
0.7500 0.6250 0.3750
0.5000 0.0000 0.5000
0.5000 0.5000 0.5000
0.1250 0.3750 0.2500
0.8750 0.6250 0.7500
0.6250 0.8750 0.2500
0.3750 0.1250 0.7500
0.0000 0.0000 0.0000
0.5000 0.5000 0.0000
0.8750 0.2500 0.6250
0.0000 0.0000 0.5000
0.0000 0.5000 0.5000
```


PmCdTe3 | PBE | relaxed

Output
Its formation energy from raw total energies is -741 meV/atom.

POSCAR file:
```
PmCdTe3
1.0
-4.4019 0.9875 0.8224
-1.7376 -6.0085 -2.0857
2.2315 -0.8376 12.9492
Te Pm Cd
6 2 2
direct
0.2500 0.1643 0.9212
0.7500 0.8256 0.5972
0.2500 0.4849 0.7833
0.7500 0.5151 0.2167
0.2500 0.1744 0.4028
0.7500 0.8357 0.0788
0.2500 0.1754 0.1633
0.7500 0.8246 0.8367
0.7500 0.9039 0.3831
0.2500 0.0961 0.6169
```